Version w
Er5Ga2 after structural relaxation. Source: Alexandria, functional PBE.

* calculated density: 8.98 g cm⁻³

Lattice parameters (Å, degrees): 7.8578 14.2358 6.4520 90.00 90.00 90.00
With the nearest neighbours (Å) after each atom.
Space group Ibam (No. 72)
One atom of each set of equivalent atoms:
Er 0.0000 0.0000 0.2500 [4 per cell]  8 Er 3.23-3.33, 4 Ga 3.27
Er 0.0000 0.2316 0.2500 [8 per cell]  4 Ga 3.09-3.11, 5 Er 3.23-3.35
Er 0.1598 0.4178 0.0000 [8 per cell]  4 Ga 3.03-3.33, 4 Er 3.33-3.35
Ga 0.2226 0.3721 0.5000 [8 per cell]  10 Er 3.03-3.33

---

Version x
Er5Ga2 after structural relaxation. Source: Alexandria, functional PBE.

* calculated density: 8.53 g cm⁻³

Lattice parameters (Å, degrees): 15.5884 6.1626 7.9729 90.00 97.47 90.00
With the nearest neighbours (Å) after each atom.
Space group C2/c (No. 15)
One atom of each set of equivalent atoms:
Er 0.0000 0.1237 0.2500 [4 per cell]  4 Ga 2.95-2.97
Er 0.0947 0.3643 0.9236 [8 per cell]  3 Ga 2.95-3.26
Er 0.2208 0.0815 0.3193 [8 per cell]  3 Ga 2.98-3.08
Ga 0.1039 0.1930 0.5815 [8 per cell]  8 Er 2.95-3.26

---

Which of them is most stable, and which least? Most stable: version x; least stable: version w.

---

Version w
ErGa5 after structural relaxation. Source: Alexandria, functional PBE.

* calculated density: 7.51 g cm⁻³

Lattice parameters (Å, degrees): 4.2403 12.3109 4.3681 90.00 90.00 90.00
With the nearest neighbours (Å) after each atom.
Space group Cmmm (No. 65)
One atom of each set of equivalent atoms:
Er 0.0000 0.0000 0.0000 [2 per cell]  12 Ga 3.04-3.05
Ga 0.0000 0.1724 0.5000 [4 per cell]  10 Ga 2.85-3.04, 2 Er 3.05
Ga 0.0000 0.3229 0.0000 [4 per cell]  10 Ga 2.78-3.09, 2 Er 3.04
Ga 0.0000 0.5000 0.5000 [2 per cell]  8 Ga 3.00-3.09, 4 Er 3.04

---

Version x
ErGa5 after structural relaxation. Source: Alexandria, functional PBE.

* calculated density: 7.22 g cm⁻³

Lattice parameters (Å, degrees): 5.6153 5.6153 4.3450 90.00 90.00 120.00
With the nearest neighbours (Å) after each atom.
Space group P-62m (No. 189)
One atom of each set of equivalent atoms:
Er 0.0000 0.0000 0.0000 [1 per cell]  12 Ga 3.06-3.24
Ga 0.0000 0.6155 0.5000 [3 per cell]  8 Ga 2.79-3.02, 2 Er 3.06
Ga 0.3333 0.6667 0.0000 [2 per cell]  6 Ga 2.79

---

Which of them is most stable, and which least? Most stable: version w; least stable: version x.

---

Version w
ErGaGe2 after structural relaxation. Source: Alexandria, functional PBE.

* calculated density: 8.08 g cm⁻³

Lattice parameters (Å, degrees): 4.2750 4.2750 4.2970 90.00 90.00 90.00
With the nearest neighbours (Å) after each atom.
Space group P4/mmm (No. 123)
One atom of each set of equivalent atoms:
Er 0.0000 0.0000 0.0000 [1 per cell]  4 Ga 3.02, 8 Ge 3.03
Ga 0.5000 0.5000 0.0000 [1 per cell]  4 Er 3.02, 8 Ge 3.03
Ge 0.0000 0.5000 0.5000 [2 per cell]  4 Ge 3.02, 4 Er 3.03, 4 Ga 3.03

---

Version x
ErGaGe2 after structural relaxation. Source: Alexandria, functional PBE.

* calculated density: 7.63 g cm⁻³

Lattice parameters (Å, degrees): 4.4946 4.4946 14.2741 90.00 90.00 120.00
With the nearest neighbours (Å) after each atom.
Space group R-3m (No. 166, hexagonal axes)
One atom of each set of equivalent atoms:
Er 0.0000 0.0000 0.0000 [3 per cell]  8 Ge 3.06-3.13
Ga 0.0000 0.0000 0.5000 [3 per cell]  6 Ge 2.70
Ge 0.0000 0.0000 0.2195 [6 per cell]  3 Ga 2.70, 3 Ge 3.00

---

Which of them is most stable, and which least? Most stable: version w; least stable: version x.

---

Version w
ErGa2Ge after structural relaxation. Source: Alexandria, functional PBE.

* calculated density: 8.11 g cm⁻³

Lattice parameters (Å, degrees): 4.1675 4.1675 4.4727 90.00 90.00 90.00
With the nearest neighbours (Å) after each atom.
Space group P4/mmm (No. 123)
One atom of each set of equivalent atoms:
Er 0.0000 0.0000 0.0000 [1 per cell]  4 Ge 2.95, 8 Ga 3.06
Ga 0.0000 0.5000 0.5000 [2 per cell]  4 Ga 2.95, 4 Ge 3.06, 4 Er 3.06
Ge 0.5000 0.5000 0.0000 [1 per cell]  4 Er 2.95, 8 Ga 3.06

---

Version x
ErGa2Ge after structural relaxation. Source: Alexandria, functional PBE.

* calculated density: 7.53 g cm⁻³

Lattice parameters (Å, degrees): 4.4435 4.4435 14.6720 90.00 90.00 120.00
With the nearest neighbours (Å) after each atom.
Space group R-3m (No. 166, hexagonal axes)
One atom of each set of equivalent atoms:
Er 0.0000 0.0000 0.0000 [3 per cell]  8 Ga 3.04-3.26
Ga 0.0000 0.0000 0.2219 [6 per cell]  3 Ge 2.69
Ge 0.0000 0.0000 0.5000 [3 per cell]  6 Ga 2.69

---

Which of them is most stable, and which least? Most stable: version w; least stable: version x.

---

Version w
Er3Mn3Ga2Ge after structural relaxation. Source: Alexandria, functional PBE.

* calculated density: 8.42 g cm⁻³

Lattice parameters (Å, degrees): 7.0676 7.0676 4.0050 90.00 90.00 120.00
With the nearest neighbours (Å) after each atom.
Space group P-62m (No. 189)
One atom of each set of equivalent atoms:
Er 0.0000 0.4108 0.0000 [3 per cell]  1 Ge 2.90, 4 Ga 2.93, 6 Mn 3.20-3.22
Mn 0.0000 0.7647 0.5000 [3 per cell]  2 Ge 2.60, 2 Ga 2.77, 2 Mn 2.88
Ga 0.3333 0.6667 0.5000 [2 per cell]  3 Mn 2.77, 6 Er 2.93
Ge 0.0000 0.0000 0.0000 [1 per cell]  6 Mn 2.60, 3 Er 2.90

---

Version x
Er3Mn3Ga2Ge after structural relaxation. Source: Alexandria, functional PBE.

* calculated density: 8.45 g cm⁻³

Lattice parameters (Å, degrees): 6.9868 6.9868 4.0837 90.00 90.00 120.00
With the nearest neighbours (Å) after each atom.
Space group P-6 (No. 174)
One atom of each set of equivalent atoms:
Er 0.0845 0.3351 0.0000 [3 per cell]  3 Ga 2.91-2.94, 2 Ge 2.92, 4 Mn 3.19-3.23
Mn 0.4356 0.3372 0.5000 [3 per cell]  3 Ga 2.61-2.76, 1 Ge 2.73, 2 Mn 2.82
Ga 0.0000 0.0000 0.5000 [1 per cell]  3 Mn 2.76, 6 Er 2.94
Ga 0.6667 0.3333 0.0000 [1 per cell]  6 Mn 2.61, 3 Er 2.91
Ge 0.3333 0.6667 0.5000 [1 per cell]  3 Mn 2.73, 6 Er 2.92

---

Which of them is most stable, and which least? Most stable: version x; least stable: version w.

---

Version w
NdErGaGe after structural relaxation. Source: Alexandria, functional PBE.

* calculated density: 7.92 g cm⁻³

Lattice parameters (Å, degrees): 7.2466 7.2466 7.2466 90.00 90.00 90.00
With the nearest neighbours (Å) after each atom.
Space group F-43m (No. 216)
One atom of each set of equivalent atoms:
Nd 0.0000 0.0000 0.0000 [4 per cell]  4 Ge 3.14, 4 Ga 3.14
Er 0.0000 0.0000 0.5000 [4 per cell]  4 Ga 3.14, 4 Ge 3.14
Ga 0.2500 0.2500 0.2500 [4 per cell]  4 Nd 3.14, 4 Er 3.14
Ge 0.2500 0.2500 0.7500 [4 per cell]  4 Er 3.14, 4 Nd 3.14

---

Version x
NdErGaGe after structural relaxation. Source: Alexandria, functional PBE.

* calculated density: 7.75 g cm⁻³

Lattice parameters (Å, degrees): 4.0451 4.3803 10.9823 90.00 90.00 90.00
With the nearest neighbours (Å) after each atom.
Space group Amm2 (No. 38)
One atom of each set of equivalent atoms:
Nd 0.0000 0.0000 0.0000 [2 per cell]  3 Ge 3.07-3.27, 4 Ga 3.07
Er 0.5000 0.0000 0.2793 [2 per cell]  4 Ge 3.05, 3 Ga 3.15-3.21
Ga 0.5000 0.0000 0.5660 [2 per cell]  2 Ge 2.64
Ge 0.0000 0.0000 0.7208 [2 per cell]  2 Ga 2.64

---

Which of them is most stable, and which least? Most stable: version x; least stable: version w.

---

Version w
SmErGaGe after structural relaxation. Source: Alexandria, functional PBE.

* calculated density: 8.01 g cm⁻³

Lattice parameters (Å, degrees): 4.0251 4.3523 10.8827 90.00 90.00 90.00
With the nearest neighbours (Å) after each atom.
Space group Amm2 (No. 38)
One atom of each set of equivalent atoms:
Sm 0.0000 0.0000 0.0000 [2 per cell]  4 Ga 3.04, 3 Ge 3.04-3.24
Er 0.5000 0.0000 0.2793 [2 per cell]  4 Ge 3.03, 3 Ga 3.09-3.20
Ga 0.5000 0.0000 0.5635 [2 per cell]  2 Ge 2.64
Ge 0.0000 0.0000 0.7203 [2 per cell]  2 Ga 2.64

---

Version x
SmErGaGe after structural relaxation. Source: Alexandria, functional PBE.

* calculated density: 8.20 g cm⁻³

Lattice parameters (Å, degrees): 7.1965 7.1965 7.1965 90.00 90.00 90.00
With the nearest neighbours (Å) after each atom.
Space group F-43m (No. 216)
One atom of each set of equivalent atoms:
Sm 0.0000 0.0000 0.0000 [4 per cell]  4 Ge 3.12, 4 Ga 3.12
Er 0.0000 0.0000 0.5000 [4 per cell]  4 Ga 3.12, 4 Ge 3.12
Ga 0.2500 0.2500 0.2500 [4 per cell]  4 Er 3.12, 4 Sm 3.12
Ge 0.2500 0.2500 0.7500 [4 per cell]  4 Er 3.12, 4 Sm 3.12

---

Which of them is most stable, and which least? Most stable: version w; least stable: version x.

---

Version w
Er2GaH after structural relaxation. Source: Alexandria, functional PBE.

* calculated density: 8.62 g cm⁻³

Lattice parameters (Å, degrees): 3.5614 3.5614 21.3169 90.00 90.00 120.00
With the nearest neighbours (Å) after each atom.
Space group R-3m (No. 166, hexagonal axes)
One atom of each set of equivalent atoms:
Er 0.0000 0.0000 0.2315 [6 per cell]  3 H 2.48
Ga 0.0000 0.0000 0.0000 [3 per cell]  6 Er 2.99
H 0.0000 0.0000 0.5000 [3 per cell]  6 Er 2.48

---

Version x
Er2GaH after structural relaxation. Source: Alexandria, functional PBE.

* calculated density: 8.42 g cm⁻³

Lattice parameters (Å, degrees): 3.5885 6.3493 14.0385 90.00 90.00 90.00
With the nearest neighbours (Å) after each atom.
Space group Immm (No. 71)
One atom of each set of equivalent atoms:
Er 0.0000 0.0000 0.1957 [4 per cell]  2 H 2.19
Er 0.0000 0.2507 0.5000 [4 per cell]  2 H 2.17
Ga 0.0000 0.5000 0.1385 [4 per cell]  8 Er 2.94-3.27
H 0.0000 0.5000 0.3940 [4 per cell]  4 Er 2.17-2.19

---

Which of them is most stable, and which least? Most stable: version x; least stable: version w.